[1]
LuTlGaAg | PBE | optimized geometry

Lattice parameters (Å, degrees): 7.0337 7.0337 7.0337 90.00 90.00 90.00
Space group F-43m (No. 216)
Unique sites:
Lu (0.0000, 0.0000, 0.0000) [4 per cell]
Tl (0.2500, 0.2500, 0.2500) [4 per cell]
Ga (0.2500, 0.2500, 0.7500) [4 per cell]
Ag (0.0000, 0.0000, 0.5000) [4 per cell]

Computed properties:
* ΔH_f (0 K): -180.9 meV per atom
* energy: -3.372 eV/atom
* magnetization: 0.007 μB per cell
* ρ: 10.63 g/cm3



[2]
TaOsI3 | PBE | optimized geometry

Lattice parameters (Å, degrees): 5.5120 5.5120 5.5120 90.00 90.00 90.00
Space group Pm-3m (No. 221)
Unique sites:
Ta (0.0000, 0.0000, 0.0000) [1 per cell]
Os (0.5000, 0.5000, 0.5000) [1 per cell]
I (0.0000, 0.0000, 0.5000) [3 per cell]

Computed properties:
* raw formation energy: 1.576 eV/atom
* relative energy among the computed polymorphs: 0.00 kJ/mol of atoms
* energy: -3.971 eV/atom
* magnetization: 3.071 μB per cell
* ρ: 7.46 g/cm3



- Among the records above, which one has the lowest ρ?
  TaOsI3